Entry 1:
Here is a relaxed structure of Li2CdCl from Alexandria via LeMat-Bulk. Energies are from PBE.

The calculation puts the final energy at -2.304 eV per atom. The calculation puts the density at 3.0 Mg/m³. The uncorrected formation energy comes out at -656 meV/atom. As for the crystal system: orthorhombic. The energy above the most stable polymorph in this dataset comes out at 4.98 kcal/mol of atoms.

The structure in CIF format:
```
data_Li2CdCl
_symmetry_space_group_name_H-M 'P m m m'
_symmetry_Int_Tables_number 47
_cell_length_a 3.663
_cell_length_b 3.743
_cell_length_c 6.614
_cell_angle_alpha 90.00
_cell_angle_beta 90.00
_cell_angle_gamma 90.00
loop_
_symmetry_equiv_pos_as_xyz
'x,y,z'
'-x,-y,-z'
'-x,-y,z'
'x,y,-z'
'x,-y,-z'
'-x,y,z'
'-x,y,-z'
'x,-y,z'
loop_
_atom_site_label
_atom_site_type_symbol
_atom_site_fract_x
_atom_site_fract_y
_atom_site_fract_z
Li1 Li 0.000 0.000 0.000
Li2 Li 0.000 0.500 0.500
Cd1 Cd 0.500 0.000 0.500
Cl1 Cl 0.500 0.500 0.000
```


Entry 2:
Here is a relaxed structure of CdInSnHg from Alexandria via LeMat-Bulk. Energies are from PBE.

The calculation puts the final energy at -1.951 eV per atom. The calculation puts the density at 8.8 Mg/m³. As for the crystal system: monoclinic. The energy above the most stable polymorph in this dataset comes out at 0.00 kcal/mol of atoms. The energy of formation from the pure elements is 0.038 eV/atom.

The structure in CIF format:
```
data_CdInSnHg
_symmetry_space_group_name_H-M 'C 1 m 1'
_symmetry_Int_Tables_number 8
_cell_length_a 4.770
_cell_length_b 4.727
_cell_length_c 9.157
_cell_angle_alpha 90.00
_cell_angle_beta 93.30
_cell_angle_gamma 90.00
loop_
_symmetry_equiv_pos_as_xyz
'x,y,z'
'x,-y,z'
'x+1/2,y+1/2,z'
'x+1/2,-y+1/2,z'
loop_
_atom_site_label
_atom_site_type_symbol
_atom_site_fract_x
_atom_site_fract_y
_atom_site_fract_z
Cd1 Cd 0.000 0.000 0.000
In1 In 0.029 0.000 0.517
Sn1 Sn 0.493 0.000 0.247
Hg1 Hg 0.017 0.500 0.766
```


Entry 3:
Here is a relaxed structure of KMg4Tl5 from Alexandria via LeMat-Bulk. Energies are from PBE.

The calculation puts the final energy at -1.994 eV per atom. The calculation puts the density at 7.1 Mg/m³. As for the crystal system: tetragonal. The energy of formation from the pure elements is -0.063 eV/atom.

The structure in CIF format:
```
data_KMg4Tl5
_symmetry_space_group_name_H-M 'P 4/m m m'
_symmetry_Int_Tables_number 123
_symmetry_space_group_name_Hall '-P 4 2'
_cell_length_a 3.701
_cell_length_b 3.701
_cell_length_c 19.658
_cell_angle_alpha 90.00
_cell_angle_beta 90.00
_cell_angle_gamma 90.00
loop_
_atom_site_label
_atom_site_type_symbol
_atom_site_fract_x
_atom_site_fract_y
_atom_site_fract_z
K1 K 0.000 0.000 0.000
Mg1 Mg 0.000 0.000 0.224
Mg2 Mg 0.000 0.000 0.407
Tl1 Tl 0.500 0.500 0.132
Tl2 Tl 0.500 0.500 0.315
Tl3 Tl 0.500 0.500 0.500
```


Entry 4:
Here is a relaxed structure of Sc4AlRh from Alexandria via LeMat-Bulk. Energies are from PBE.

The calculation puts the final energy at -6.619 eV per atom. The calculation puts the density at 4.1 Mg/m³. As for the crystal system: cubic. The energy above the most stable polymorph in this dataset comes out at 0.00 kcal/mol of atoms. The energy of formation from the pure elements is -0.549 eV/atom.

The structure in CIF format:
```
data_Sc4AlRh
_symmetry_space_group_name_H-M 'F -4 3 m'
_symmetry_Int_Tables_number 216
_symmetry_space_group_name_Hall 'F -4 2 3'
_cell_length_a 12.601
_cell_length_b 12.601
_cell_length_c 12.601
_cell_angle_alpha 90.00
_cell_angle_beta 90.00
_cell_angle_gamma 90.00
loop_
_atom_site_label
_atom_site_type_symbol
_atom_site_fract_x
_atom_site_fract_y
_atom_site_fract_z
Sc1 Sc 0.000 0.000 0.187
Sc2 Sc 0.056 0.250 0.750
Sc3 Sc 0.106 0.106 0.394
Al1 Al 0.169 0.169 0.169
Rh1 Rh 0.106 0.106 0.606
```


Entry 5:
Here is a relaxed structure of Zn2PtW from Alexandria via LeMat-Bulk. Energies are from PBE.

The calculation puts the final energy at -5.348 eV per atom. The calculation puts the density at 13.9 Mg/m³. As for the crystal system: monoclinic. The energy above the most stable polymorph in this dataset comes out at 3.44 kcal/mol of atoms. The energy of formation from the pure elements is 0.037 eV/atom.

The structure in CIF format:
```
data_Zn2PtW
_symmetry_space_group_name_H-M 'C 1 2/m 1'
_symmetry_Int_Tables_number 12
_cell_length_a 5.460
_cell_length_b 9.010
_cell_length_c 2.698
_cell_angle_alpha 90.00
_cell_angle_beta 113.51
_cell_angle_gamma 90.00
loop_
_symmetry_equiv_pos_as_xyz
'x,y,z'
'-x,-y,-z'
'-x,y,-z'
'x,-y,z'
'x+1/2,y+1/2,z'
'-x+1/2,-y+1/2,-z'
'-x+1/2,y+1/2,-z'
'x+1/2,-y+1/2,z'
loop_
_atom_site_label
_atom_site_type_symbol
_atom_site_fract_x
_atom_site_fract_y
_atom_site_fract_z
Zn1 Zn 0.250 0.250 0.000
Pt1 Pt 0.000 0.000 0.500
W1 W 0.000 0.500 0.500
```


Entry 6:
Here is a relaxed structure of Hf2FeSi from Alexandria via LeMat-Bulk. Energies are from PBE.

The calculation puts the final energy at -8.882 eV per atom. The calculation puts the density at 10.8 Mg/m³. The uncorrected formation energy comes out at -434 meV/atom. As for the crystal system: triclinic.

The structure in CIF format:
```
data_Hf2FeSi
_symmetry_space_group_name_H-M 'P -1'
_symmetry_Int_Tables_number 2
_cell_length_a 5.254
_cell_length_b 5.341
_cell_length_c 5.754
_cell_angle_alpha 66.88
_cell_angle_beta 66.92
_cell_angle_gamma 74.42
loop_
_symmetry_equiv_pos_as_xyz
'x,y,z'
'-x,-y,-z'
loop_
_atom_site_label
_atom_site_type_symbol
_atom_site_fract_x
_atom_site_fract_y
_atom_site_fract_z
Hf1 Hf 0.049 0.277 0.288
Hf2 Hf 0.369 0.147 0.723
Fe1 Fe 0.173 0.773 0.169
Si1 Si 0.436 0.589 0.805
```


Entry 7:
Here is a relaxed structure of AcTbGa2Pt5 from Alexandria via LeMat-Bulk. Energies are from PBE.

The calculation puts the final energy at -5.845 eV per atom. The calculation puts the density at 14.2 Mg/m³. As for the crystal system: tetragonal. The energy of formation from the pure elements is -0.845 eV/atom.

The structure in CIF format:
```
data_AcTbGa2Pt5
_symmetry_space_group_name_H-M 'P 4/m m m'
_symmetry_Int_Tables_number 123
_symmetry_space_group_name_Hall '-P 4 2'
_cell_length_a 4.354
_cell_length_b 4.354
_cell_length_c 9.289
_cell_angle_alpha 90.00
_cell_angle_beta 90.00
_cell_angle_gamma 90.00
loop_
_atom_site_label
_atom_site_type_symbol
_atom_site_fract_x
_atom_site_fract_y
_atom_site_fract_z
Ac1 Ac 0.000 0.000 0.000
Tb1 Tb 0.000 0.000 0.500
Ga1 Ga 0.500 0.500 0.368
Pt1 Pt 0.000 0.500 0.240
Pt2 Pt 0.500 0.500 0.000
```


Entry 8:
Here is a relaxed structure of Sc2Cu2Sb from Alexandria via LeMat-Bulk. Energies are from PBE.

The calculation puts the final energy at -5.473 eV per atom. The calculation puts the density at 6.1 Mg/m³. The uncorrected formation energy comes out at -478 meV/atom. As for the crystal system: tetragonal. The energy above the most stable polymorph in this dataset comes out at 0.00 kcal/mol of atoms.

The structure in CIF format:
```
data_Sc2Cu2Sb
_symmetry_space_group_name_H-M 'P 4/m b m'
_symmetry_Int_Tables_number 127
_symmetry_space_group_name_Hall '-P 4 2ab'
_cell_length_a 6.894
_cell_length_b 6.894
_cell_length_c 3.882
_cell_angle_alpha 90.00
_cell_angle_beta 90.00
_cell_angle_gamma 90.00
loop_
_atom_site_label
_atom_site_type_symbol
_atom_site_fract_x
_atom_site_fract_y
_atom_site_fract_z
Sc1 Sc 0.167 0.333 0.000
Cu1 Cu 0.124 0.624 0.500
Sb1 Sb 0.000 0.000 0.500
```